Entry 1:
Here is KIrCl4 after structural relaxation from the Alexandria database. Energies are from PBE-GGA.

abc: 8.6230 8.6230 6.2739
angles: 96.74 96.74 116.51
Last column: nearest neighbours and their distance in Å.
Fractional positions:
K 0.2267 0.7733 0.7500  4 Cl 3.05-3.12
K 0.7733 0.2267 0.2500  4 Cl 3.05-3.12
Ir 0.4417 0.5583 0.2500  6 Cl 2.36-2.38
Ir 0.5583 0.4417 0.7500  6 Cl 2.36-2.38
Cl 0.1681 0.5132 0.3368  1 Ir 2.36
Cl 0.3002 0.4111 0.8832  2 Ir 2.38
Cl 0.4111 0.3002 0.3832  2 Ir 2.38
Cl 0.4868 0.8319 0.1632  1 Ir 2.36
Cl 0.5132 0.1681 0.8368  1 Ir 2.36
Cl 0.5889 0.6998 0.6168  2 Ir 2.38
Cl 0.6998 0.5889 0.1168  2 Ir 2.38
Cl 0.8319 0.4868 0.6632  1 Ir 2.36

## Properties
* offset from the most stable computed form: 0 meV/atom
* calculated volume: 33.913 Å³/atom

---

Entry 2:
Here is KIrCl after structural relaxation from the Alexandria database. Energies are from PBE-GGA.

abc: 3.9670 3.9670 12.0592
angles: 103.04 103.04 61.99
Last column: nearest neighbours and their distance in Å.
Fractional positions:
K 0.0000 0.0000 0.0000  6 Cl 3.03-3.12
K 0.1620 0.1620 0.3514  3 Cl 3.06
Ir 0.2833 0.2833 0.6462  3 Ir 2.38-2.43, 1 Cl 2.60
Ir 0.9212 0.9212 0.5864  3 Ir 2.38-2.43
Cl 0.4228 0.4228 0.1796  6 K 3.06-3.12
Cl 0.5814 0.5814 0.8322  1 Ir 2.60

## Properties
* offset from the most stable computed form: 19 meV/atom
* calculated volume: 26.939 Å³/atom

---

Entry 3:
Here is KIrCl2 after structural relaxation from the Alexandria database. Energies are from PBE-GGA.

abc: 5.0963 5.0963 5.0963
angles: 60.00 60.00 60.00
Last column: nearest neighbours and their distance in Å.
Fractional positions:
K 0.0000 0.0000 0.0000  4 Ir 3.12, 4 Cl 3.12
Ir 0.7500 0.7500 0.7500  4 Cl 3.12, 4 K 3.12
Cl 0.2500 0.2500 0.2500  4 Cl 3.12, 4 K 3.12
Cl 0.5000 0.5000 0.5000  4 Cl 3.12, 4 Ir 3.12

## Properties
* offset from the most stable computed form: 1201 meV/atom
* calculated volume: 23.399 Å³/atom

---

Entry 4:
Here is K4IrCl after structural relaxation from the Alexandria database. Energies are from PBE-GGA.

abc: 6.5908 6.5908 6.5908
angles: 60.00 60.00 60.00
Last column: nearest neighbours and their distance in Å.
Fractional positions:
K 0.1250 0.1250 0.1250  6 K 3.30
K 0.1250 0.1250 0.6250  6 K 3.30
K 0.1250 0.6250 0.1250  6 K 3.30
K 0.6250 0.1250 0.1250  6 K 3.30
Ir 0.5000 0.5000 0.5000  12 K 3.86, 4 Cl 4.04
Cl 0.7500 0.7500 0.7500  12 K 3.86, 4 Ir 4.04

## Properties
* E_tot: -2.00 eV/atom
* calculated volume: 33.741 Å³/atom